(1)
YOs2Br (PBE-GGA, relaxed); total DFT energy (no corrections) = -27.16 eV for the cell shown; raw formation energy = 0.859 eV per atom; total magnetic moment = 0.313 μB per atom; density = 12.16 g/cm³; offset from the most stable computed form = 0.923 eV/atom
1.0
0.000 3.347 3.347
3.347 0.000 3.347
3.347 3.347 0.000
Y Os Br
1 2 1
Cartesian
0.000 0.000 0.000
3.347 3.347 3.347
5.020 5.020 5.020
1.673 1.673 1.673

=====

(2)
YNb (PBE-GGA, relaxed); total DFT energy (no corrections) = -32.59 eV for the cell shown; total magnetic moment = 0.000 μB per atom; density = 6.03 g/cm³; offset from the most stable computed form = 0.000 eV/atom
1.0
3.528 0.000 0.000
0.000 3.528 0.000
0.000 0.000 8.047
Y Nb
2 2
Cartesian
0.882 0.882 1.400
2.646 2.646 6.646
0.882 0.882 4.658
2.646 2.646 3.388

=====

(3)
TaCuTe2 (PBE-GGA, relaxed); total DFT energy (no corrections) = -21.04 eV for the cell shown; raw formation energy = 0.297 eV per atom; total magnetic moment = 0.000 μB per atom; density = 10.27 g/cm³
1.0
-1.977 2.537 4.029
1.977 -2.537 4.029
1.977 2.537 -4.029
Ta Cu Te
1 1 2
Cartesian
0.000 0.000 0.000
0.000 0.000 4.029
1.977 0.000 2.300
0.000 2.537 1.730

=====

(4)
Rb2Na2As (PBE-GGA, relaxed); total DFT energy (no corrections) = -10.43 eV for the cell shown; total magnetic moment = 0.000 μB per atom; density = 2.04 g/cm³; offset from the most stable computed form = 0.000 eV/atom
1.0
2.525 1.458 10.775
-2.525 1.458 10.775
0.000 -2.916 10.775
Rb Na As
2 2 1
Cartesian
0.000 0.000 2.328
0.000 0.000 29.997
0.000 0.000 5.979
0.000 0.000 26.345
0.000 0.000 16.162

=====

(5)
La10CeY6 (PBE-GGA, relaxed); total DFT energy (no corrections) = -91.43 eV for the cell shown; total magnetic moment = 0.039 μB per atom; density = 5.59 g/cm³
1.0
10.016 0.000 0.000
-5.008 8.674 0.000
0.000 0.000 7.051
La Ce Y
10 1 6
Cartesian
-1.384 2.397 1.245
-3.624 6.277 5.806
2.768 0.000 1.245
1.384 2.397 5.806
0.000 5.783 0.000
0.000 5.783 3.526
5.008 2.891 0.000
5.008 2.891 3.526
7.248 0.000 5.806
3.624 6.277 1.245
0.000 0.000 3.526
-1.803 3.124 4.758
-3.204 5.550 2.293
3.607 0.000 4.758
1.803 3.124 2.293
6.409 0.000 2.293
3.204 5.550 4.758

=====

(6)
Mg2CoHg (PBE-GGA, relaxed); total DFT energy (no corrections) = -10.12 eV for the cell shown; total magnetic moment = 0.290 μB per atom; density = 7.16 g/cm³
1.0
3.345 0.000 0.000
0.000 3.345 0.000
0.000 0.000 6.385
Mg Co Hg
2 1 1
Cartesian
0.000 0.000 0.000
1.673 1.673 1.903
0.000 0.000 3.135
1.673 1.673 4.696

=====

(7)
Tb2LuMn (PBE-GGA, relaxed); total DFT energy (no corrections) = -20.90 eV for the cell shown; total magnetic moment = 0.801 μB per atom; density = 8.19 g/cm³; offset from the most stable computed form = 0.375 eV/atom
1.0
1.685 0.973 11.280
-1.685 0.973 11.280
0.000 -1.946 11.280
Tb Lu Mn
2 1 1
Cartesian
0.000 0.000 2.789
0.000 0.000 31.050
0.000 0.000 16.920
0.000 0.000 0.000

=====

(8)
MnHPdAu2 (PBE-GGA, relaxed); total DFT energy (no corrections) = -24.00 eV for the cell shown; total magnetic moment = 0.919 μB per atom; density = 13.11 g/cm³; offset from the most stable computed form = 0.000 eV/atom
1.0
4.346 0.000 0.000
0.000 4.346 0.000
0.000 0.000 3.732
Mn H Pd Au
1 1 1 2
Cartesian
0.000 0.000 0.000
2.173 2.173 1.866
2.173 2.173 0.000
0.000 2.173 1.866
2.173 0.000 1.866

=====

(9)
KSc2Rh (PBE-GGA, relaxed); total DFT energy (no corrections) = -19.44 eV for the cell shown; total magnetic moment = 0.001 μB per atom; density = 4.35 g/cm³; offset from the most stable computed form = 0.659 eV/atom
1.0
4.836 0.000 0.000
0.000 4.836 0.000
0.000 0.000 3.788
K Sc Rh
1 2 1
Cartesian
0.000 0.000 0.000
0.000 2.418 1.894
2.418 0.000 1.894
2.418 2.418 0.000

=====

(10)
LaHo2Th3Se6 (PBE-GGA, relaxed); total DFT energy (no corrections) = -77.20 eV for the cell shown; raw formation energy = -1.663 eV per atom; total magnetic moment = 0.000 μB per atom; density = 8.83 g/cm³
1.0
3.549 -6.121 0.000
3.549 6.121 0.000
-2.348 0.000 7.097
La Ho Th Se
1 2 3 6
Cartesian
0.000 0.000 0.000
3.549 2.058 0.000
3.549 -2.058 0.000
2.375 4.172 3.548
2.375 0.000 3.548
2.375 -4.172 3.548
1.234 2.120 1.717
0.111 0.000 5.447
1.234 -2.120 1.717
3.516 2.120 5.380
4.639 0.000 1.650
3.516 -2.120 5.380

=====

(11)
PmPr2Hg6 (PBE-GGA, relaxed); total DFT energy (no corrections) = -20.02 eV for the cell shown; total magnetic moment = 0.063 μB per atom; density = 11.59 g/cm³; offset from the most stable computed form = 0.000 eV/atom
1.0
8.775 0.000 0.000
-4.387 7.599 0.000
0.000 0.000 3.504
Pm Pr Hg
1 2 6
Cartesian
0.000 0.000 0.000
0.000 5.066 0.000
4.387 2.533 0.000
-1.458 2.525 1.752
-2.930 5.074 1.752
2.915 0.000 1.752
1.458 2.525 1.752
5.859 0.000 1.752
2.930 5.074 1.752

=====

(12)
Ba2Sr8Ac (PBE-GGA, relaxed); total DFT energy (no corrections) = -19.90 eV for the cell shown; total magnetic moment = 0.000 μB per atom; density = 3.14 g/cm³; offset from the most stable computed form = 0.033 eV/atom
1.0
6.740 0.000 0.000
0.000 6.740 0.000
0.000 0.000 14.017
Ba Sr Ac
2 8 1
Cartesian
0.000 0.000 2.523
0.000 0.000 11.494
0.000 3.370 0.000
0.000 3.370 4.927
0.000 3.370 9.090
3.370 0.000 0.000
3.370 0.000 4.927
3.370 0.000 9.090
3.370 3.370 2.341
3.370 3.370 11.676
0.000 0.000 7.008